Record 1
4
Lattice="3.597 0.000 0.000 0.000 3.597 0.000 0.000 0.000 8.234" Properties=species:S:1:pos:R:3 comment="Th2PaPd, optimized geometry, DFT PBE" relative_energy_ev_per_atom=0.0000 dos_at_fermi_per_ev_cell=3.98 e_form_ev_per_atom=-0.24 density_g_cm3=12.49 magmom_total_mub_per_fu=0.00 pbc="T T T"
Pd 1.798 1.798 0.000
Th 0.000 0.000 1.837
Th 0.000 0.000 6.397
Pa 1.798 1.798 4.117

***

Record 2
4
Lattice="-0.317 3.115 -1.058 -1.396 0.615 -2.931 -10.560 1.887 3.564" Properties=species:S:1:pos:R:3 comment="Th2PaPd, optimized geometry, DFT PBE" relative_energy_ev_per_atom=0.3670 dos_at_fermi_per_ev_cell=5.39 e_form_ev_per_atom=0.13 density_g_cm3=12.63 magmom_total_mub_per_fu=0.00 pbc="T T T"
Pa 0.000 0.000 0.000
Pd -6.137 2.808 -0.213
Th -7.716 1.704 2.171
Th -4.557 3.913 -2.596

***

Record 3
11
Lattice="5.347 -0.800 -1.196 -2.119 6.115 -2.279 -0.045 -0.111 7.113" Properties=species:S:1:pos:R:3 comment="ThPa2Pd8, optimized geometry, DFT PBE" dos_at_fermi_per_ev_cell=8.65 e_form_ev_per_atom=-0.60 density_g_cm3=11.75 magmom_total_mub_per_fu=0.00 pbc="T T T"
Pa 1.657 1.315 2.916
Pa 2.765 3.141 -0.568
Pd 4.001 1.869 1.505
Pd 0.368 2.127 0.547
Pd 1.197 4.014 2.512
Pd -0.040 4.833 -0.095
Pd 1.975 5.307 -2.104
Pd 0.326 2.824 4.970
Pd 3.333 0.759 5.062
Pd 4.642 -0.457 2.949
Th -1.124 5.490 4.133